Density functional theory data (PBE-GGA) for crystalline NaY2AsOs at its relaxed geometry.

extended XYZ file:
```
5
Lattice="5.3655 0.0000 0.0000 0.0000 5.3655 0.0000 0.0000 0.0000 4.8349" Properties=species:S:1:pos:R:3 pbc="T T T"
Na 0.0000 0.0000 0.0000
Y 0.0000 2.6827 2.4175
Y 2.6827 0.0000 2.4175
As 0.0000 0.0000 2.4175
Os 2.6827 2.6827 0.0000
```

Output
**E_form**: 2.49 eV/f.u.
**Raw total energy**: -27.64 eV per cell

Density functional theory data (PBE-GGA) for crystalline CsSO2 at its relaxed geometry.

extended XYZ file:
```
4
Lattice="1.7140 0.9896 7.0244 -1.7140 0.9896 7.0244 0.0000 -1.9792 7.0244" Properties=species:S:1:pos:R:3 pbc="T T T"
Cs 0.0000 0.0000 0.0000
S 0.0000 0.0000 10.5367
O 0.0000 0.0000 2.6625
O 0.0000 0.0000 18.4108
```

Output
**E_form (uncorrected)**: 0.099 eV per atom
**Raw total energy**: -14.50 eV per cell

Density functional theory data (PBE-GGA) for crystalline TcTe2W at its relaxed geometry.

extended XYZ file:
```
4
Lattice="-1.7026 2.1581 6.1556 1.7026 -2.1581 6.1556 1.7026 2.1581 -6.1556" Properties=species:S:1:pos:R:3 pbc="T T T"
Tc 0.0000 0.0000 0.0000
Te 1.7026 0.0000 2.8579
Te 0.0000 0.0000 6.1311
W 0.0000 2.1581 4.3126
```

Output
**E_form (uncorrected)**: 0.558 eV per atom
**Raw total energy**: -27.37 eV per cell
**Energy above the most stable polymorph in this dataset**: 389 meV per atom

Density functional theory data (PBE-GGA) for crystalline BPOF2 at its relaxed geometry.

extended XYZ file:
```
5
Lattice="4.2599 0.0000 0.0000 0.0000 4.2599 0.0000 0.0000 0.0000 3.4936" Properties=species:S:1:pos:R:3 pbc="T T T"
B 0.0000 0.0000 0.0000
P 2.1300 2.1300 1.7468
O 2.1300 2.1300 0.0000
F 0.0000 2.1300 1.7468
F 2.1300 0.0000 1.7468
```

Output
**E_form (uncorrected)**: -0.154 eV per atom
**Raw total energy**: -21.56 eV per cell
**Energy above the most stable polymorph in this dataset**: 720 meV per atom

Please write out number 3 again, unchanged.
Density functional theory data (PBE-GGA) for crystalline TcTe2W at its relaxed geometry.

extended XYZ file:
```
4
Lattice="-1.7026 2.1581 6.1556 1.7026 -2.1581 6.1556 1.7026 2.1581 -6.1556" Properties=species:S:1:pos:R:3 pbc="T T T"
Tc 0.0000 0.0000 0.0000
Te 1.7026 0.0000 2.8579
Te 0.0000 0.0000 6.1311
W 0.0000 2.1581 4.3126
```

Output
**E_form (uncorrected)**: 0.558 eV per atom
**Raw total energy**: -27.37 eV per cell
**Energy above the most stable polymorph in this dataset**: 389 meV per atom

Q: Which value of raw total energy does entry 2 give?
A: -14.50 eV per cell